1.
# Pm2SmTm9

Crystalline Pm2SmTm9 at its relaxed geometry (PBE-GGA, the Alexandria database).

Output
Space-group type: P4/mmm (123)
Energy relative to the elements in eV/atom: 0.13
Polymorph energy (0 for the lowest one) in eV per atom: 0.0622
D(E_F) in states/eV/cell: 22.4

Cell lengths 5.7983, 5.7983, 11.1623 Å; angles 90.00, 90.00, 90.00 degrees
Positions (direct):
Pm: 0.0000 0.0000 0.3330
Pm: 0.0000 0.0000 0.6670
Sm: 0.0000 0.0000 0.0000
Tm: 0.5000 0.5000 0.0000
Tm: 0.5000 0.5000 0.3332
Tm: 0.5000 0.5000 0.6668
Tm: 0.5000 0.0000 0.1663
Tm: 0.5000 0.0000 0.5000
Tm: 0.5000 0.0000 0.8337
Tm: 0.0000 0.5000 0.1663
Tm: 0.0000 0.5000 0.5000
Tm: 0.0000 0.5000 0.8337


2.
# SnHgO3

Crystalline SnHgO3 at its relaxed geometry (PBE-GGA, the Alexandria database).

Output
Uncorrected formation energy in meV per atom: 19
Space-group type: Pm-3m (221)
D(E_F) in states/eV/cell: 2.9

Cell lengths 4.1734, 4.1734, 4.1734 Å; angles 90.00, 90.00, 90.00 degrees
Positions (direct):
Hg: 0.0000 0.0000 0.0000
O: 0.0000 0.5000 0.0000
O: 0.0000 0.0000 0.5000
O: 0.5000 0.0000 0.0000
Sn: 0.5000 0.5000 0.5000


3.
# MgAlGaC2

Crystalline MgAlGaC2 at its relaxed geometry (PBE-GGA, the Alexandria database).

Output
Space-group type: P4/mmm (123)
Energy relative to the elements in eV/atom: 2.10
D(E_F) in states/eV/cell: 3.1

Cell lengths 4.1295, 5.2307, 4.1295 Å; angles 90.00, 90.00, 90.00 degrees
Positions (direct):
C: 0.0000 0.0000 0.5000
C: 0.5000 0.0000 0.0000
Mg: 0.0000 0.0000 0.0000
Al: 0.0000 0.5000 0.0000
Ga: 0.5000 0.5000 0.5000


4.
# Tb5PmHo5

Crystalline Tb5PmHo5 at its relaxed geometry (PBE-GGA, the Alexandria database).

Output
Space-group type: P-6m2 (187)
Energy relative to the elements in eV/atom: 0.32
Polymorph energy (0 for the lowest one) in eV per atom: 0.1716
D(E_F) in states/eV/cell: 20.5

Cell lengths 6.0583, 6.0583, 11.5913 Å; angles 90.00, 90.00, 120.00 degrees
Positions (direct):
Tb: 0.6667 0.3333 0.1567
Tb: 0.6667 0.3333 0.8433
Tb: 0.3333 0.6667 0.3227
Tb: 0.3333 0.6667 0.6773
Tb: 0.0000 0.0000 0.0000
Pm: 0.3333 0.6667 0.0000
Ho: 0.3347 0.1673 0.5000
Ho: 0.0000 0.0000 0.2652
Ho: 0.8327 0.6653 0.5000
Ho: 0.8327 0.1673 0.5000
Ho: 0.0000 0.0000 0.7348


5.
# Gd2IrCl

Crystalline Gd2IrCl at its relaxed geometry (PBE-GGA, the Alexandria database).

Output
Uncorrected formation energy in meV per atom: -1173
Space-group type: R-3m (166)
Polymorph energy (0 for the lowest one) in eV per atom: 0.0000
D(E_F) in states/eV/cell: 1.8

Cell lengths 4.1783, 4.1783, 8.6269 Å; angles 75.99, 75.99, 60.00 degrees
Positions (direct):
Gd: 0.1092 0.1092 0.6724
Gd: 0.8908 0.8908 0.3276
Ir: 0.5000 0.5000 0.5000
Cl: 0.0000 0.0000 0.0000


6.
# Fe2SiCl

Crystalline Fe2SiCl at its relaxed geometry (PBE-GGA, the Alexandria database).

Output
Uncorrected formation energy in meV per atom: 116
Space-group type: P4/mmm (123)
Polymorph energy (0 for the lowest one) in eV per atom: 0.1982
D(E_F) in states/eV/cell: 3.2

Cell lengths 2.9800, 2.9800, 6.2713 Å; angles 90.00, 90.00, 90.00 degrees
Positions (direct):
Cl: 0.5000 0.5000 0.7500
Fe: 0.0000 0.0000 0.0621
Fe: 0.0000 0.0000 0.4379
Si: 0.5000 0.5000 0.2500


Repeat the second record exactly.
# SnHgO3

Crystalline SnHgO3 at its relaxed geometry (PBE-GGA, the Alexandria database).

Output
Uncorrected formation energy in meV per atom: 19
Space-group type: Pm-3m (221)
D(E_F) in states/eV/cell: 2.9

Cell lengths 4.1734, 4.1734, 4.1734 Å; angles 90.00, 90.00, 90.00 degrees
Positions (direct):
Hg: 0.0000 0.0000 0.0000
O: 0.0000 0.5000 0.0000
O: 0.0000 0.0000 0.5000
O: 0.5000 0.0000 0.0000
Sn: 0.5000 0.5000 0.5000


- What is the D(E_F) in the third record?
  3.1 states/eV/cell


- What is the D(E_F) in the fifth record?
  1.8 states/eV/cell